[1]
# Tl4AsBr6, optimized geometry, DFT PBE
# * raw formation energy: -0.601 eV/atom
# * total moment: 1.01 μB/f.u.
data_Tl4AsBr6
_symmetry_space_group_name_H-M 'P 4/m n c'
_symmetry_Int_Tables_number 128
_symmetry_space_group_name_Hall '-P 4 2n'
_cell_length_a 9.012
_cell_length_b 9.012
_cell_length_c 9.219
_cell_angle_alpha 90.00
_cell_angle_beta 90.00
_cell_angle_gamma 90.00
loop_
_atom_site_label
_atom_site_type_symbol
_atom_site_fract_x
_atom_site_fract_y
_atom_site_fract_z
_atom_site_occupancy
Tl1 Tl 0.155 0.345 0.250 1
As1 As 0.000 0.000 0.000 1
Br1 Br 0.000 0.000 0.287 1
Br2 Br 0.131 0.690 0.000 1



[2]
# Sc12Ni5Bi, optimized geometry, DFT PBE
# * total moment: 0.00 μB/f.u.
# * ΔH_f (0 K): -7.261 eV/f.u.
data_Sc12Ni5Bi
_symmetry_space_group_name_H-M 'I m m m'
_symmetry_Int_Tables_number 71
_symmetry_space_group_name_Hall '-I 2 2'
_cell_length_a 8.777
_cell_length_b 8.856
_cell_length_c 9.336
_cell_angle_alpha 90.00
_cell_angle_beta 90.00
_cell_angle_gamma 90.00
loop_
_atom_site_label
_atom_site_type_symbol
_atom_site_fract_x
_atom_site_fract_y
_atom_site_fract_z
_atom_site_occupancy
Sc1 Sc 0.000 0.198 0.216 1
Sc2 Sc 0.197 0.500 0.181 1
Sc3 Sc 0.215 0.320 0.500 1
Ni1 Ni 0.000 0.000 0.000 1
Ni2 Ni 0.000 0.358 0.000 1
Ni3 Ni 0.000 0.500 0.372 1
Bi1 Bi 0.000 0.000 0.500 1



[3]
# KCo2Bi2, optimized geometry, DFT PBE
# * total moment: 1.80 μB/f.u.
# * ΔH_f (0 K): 1.869 eV/f.u.
data_KCo2Bi2
_symmetry_space_group_name_H-M 'P 4/m b m'
_symmetry_Int_Tables_number 127
_symmetry_space_group_name_Hall '-P 4 2ab'
_cell_length_a 8.263
_cell_length_b 8.263
_cell_length_c 3.279
_cell_angle_alpha 90.00
_cell_angle_beta 90.00
_cell_angle_gamma 90.00
loop_
_atom_site_label
_atom_site_type_symbol
_atom_site_fract_x
_atom_site_fract_y
_atom_site_fract_z
_atom_site_occupancy
K1 K 0.000 0.000 0.000 1
Co1 Co 0.113 0.387 0.000 1
Bi1 Bi 0.153 0.653 0.500 1



[4]
# LaHg2Os, optimized geometry, DFT PBE
# * total moment: 0.00 μB/f.u.
# * ΔH_f (0 K): 1.025 eV/f.u.
data_LaHg2Os
_symmetry_space_group_name_H-M 'P 4/m m m'
_symmetry_Int_Tables_number 123
_symmetry_space_group_name_Hall '-P 4 2'
_cell_length_a 4.250
_cell_length_b 4.250
_cell_length_c 5.014
_cell_angle_alpha 90.00
_cell_angle_beta 90.00
_cell_angle_gamma 90.00
loop_
_atom_site_label
_atom_site_type_symbol
_atom_site_fract_x
_atom_site_fract_y
_atom_site_fract_z
_atom_site_occupancy
La1 La 0.000 0.000 0.000 1
Hg1 Hg 0.000 0.500 0.500 1
Os1 Os 0.500 0.500 0.000 1



[5]
# Cs3YBi2Se6, optimized geometry, DFT PBE
# * raw formation energy: -1.102 eV/atom
# * total moment: 0.00 μB/f.u.
data_Cs3YBi2Se6
_symmetry_space_group_name_H-M 'C 1 2/m 1'
_symmetry_Int_Tables_number 12
_symmetry_space_group_name_Hall '-C 2y'
_cell_length_a 7.550
_cell_length_b 13.074
_cell_length_c 8.730
_cell_angle_alpha 90.00
_cell_angle_beta 106.74
_cell_angle_gamma 90.00
loop_
_atom_site_label
_atom_site_type_symbol
_atom_site_fract_x
_atom_site_fract_y
_atom_site_fract_z
_atom_site_occupancy
Cs1 Cs 0.000 0.000 0.000 1
Cs2 Cs 0.000 0.331 0.000 1
Y1 Y 0.000 0.500 0.500 1
Bi1 Bi 0.000 0.166 0.500 1
Se1 Se 0.226 0.337 0.689 1
Se2 Se 0.237 0.000 0.690 1



[6]
# AlAsOs, optimized geometry, DFT PBE
# * total moment: 0.00 μB/f.u.
# * ΔH_f (0 K): 0.930 eV/f.u.
data_AlAsOs
_symmetry_space_group_name_H-M 'F m m 2'
_symmetry_Int_Tables_number 42
_symmetry_space_group_name_Hall 'F 2 -2'
_cell_length_a 3.023
_cell_length_b 4.998
_cell_length_c 12.902
_cell_angle_alpha 90.00
_cell_angle_beta 90.00
_cell_angle_gamma 90.00
loop_
_atom_site_label
_atom_site_type_symbol
_atom_site_fract_x
_atom_site_fract_y
_atom_site_fract_z
_atom_site_occupancy
Al1 Al 0.000 0.000 0.000 1
As1 As 0.000 0.000 0.689 1
Os1 Os 0.000 0.000 0.343 1



[7]
# AlZnW, optimized geometry, DFT PBE
# * total moment: 0.94 μB/f.u.
# * ΔH_f (0 K): 2.455 eV/f.u.
data_AlZnW
_symmetry_space_group_name_H-M 'F -4 3 m'
_symmetry_Int_Tables_number 216
_symmetry_space_group_name_Hall 'F -4 2 3'
_cell_length_a 5.892
_cell_length_b 5.892
_cell_length_c 5.892
_cell_angle_alpha 90.00
_cell_angle_beta 90.00
_cell_angle_gamma 90.00
loop_
_atom_site_label
_atom_site_type_symbol
_atom_site_fract_x
_atom_site_fract_y
_atom_site_fract_z
_atom_site_occupancy
Al1 Al 0.000 0.000 0.000 1
Zn1 Zn 0.250 0.250 0.750 1
W1 W 0.000 0.000 0.500 1



[8]
# RbSrTl2Sb2, optimized geometry, DFT PBE
# * raw formation energy: -0.400 eV/atom
# * total moment: 0.00 μB/f.u.
data_RbSrTl2Sb2
_symmetry_space_group_name_H-M 'P -3 m 1'
_symmetry_Int_Tables_number 164
_symmetry_space_group_name_Hall '-P 3 2"'
_cell_length_a 5.4892
_cell_length_b 5.4892
_cell_length_c 8.7643
_cell_angle_alpha 90.00
_cell_angle_beta 90.00
_cell_angle_gamma 120.00
loop_
_atom_site_label
_atom_site_type_symbol
_atom_site_fract_x
_atom_site_fract_y
_atom_site_fract_z
_atom_site_occupancy
Rb1 Rb 0.0000 0.0000 0.0000 1
Sr1 Sr 0.0000 0.0000 0.5000 1
Tl1 Tl 0.3333 0.6667 0.6740 1
Sb1 Sb 0.3333 0.6667 0.2852 1